Entry 1:
RhSe2I: optimized geometry, GGA-PBE.

Computed properties:
Its energy above the most stable polymorph in this dataset is 377 meV per atom. The raw formation energy comes out at 47 kJ/mol of formula units.

a = 3.3029 Å, b = 3.3029 Å, c = 11.5904 Å
α = 90.00°, β = 90.00°, γ = 120.00°
Last column: nearest neighbours and their distance in Å.
Positions (direct):
I  0.0000  0.0000  0.0174  6 I 3.30
Rh  0.3333  0.6667  0.4503  4 Se 2.39-2.45
Se  0.3333  0.6667  0.6615  1 Rh 2.45
Se  0.6667  0.3333  0.3257  3 Rh 2.39

Entry 2:
RhSe2I: optimized geometry, GGA-PBE.

Computed properties:
Its energy above the most stable polymorph in this dataset is 37 meV per atom. The raw formation energy comes out at -84 kJ/mol of formula units.

a = 3.8233 Å, b = 7.0045 Å, c = 9.0206 Å
α = 86.91°, β = 89.20°, γ = 106.83°
Last column: nearest neighbours and their distance in Å.
Positions (direct):
I  0.5262  0.9702  0.5231  1 Se 2.71, 1 Rh 2.72
I  0.9208  0.6694  0.8145  2 Rh 2.75
Rh  0.5770  0.9637  0.8236  3 Se 2.45-2.51, 1 I 2.72
Rh  0.1737  0.1908  0.1220  6 Se 2.45-2.56
Se  0.0364  0.2718  0.3730  1 Se 2.45, 1 Rh 2.45, 1 I 2.71
Se  0.7966  0.4316  0.1665  1 Se 2.45, 2 Rh 2.54-2.56
Se  0.2043  0.1994  0.8472  3 Rh 2.48-2.51
Se  0.5485  0.9499  0.0960  3 Rh 2.45-2.53

Entry 3:
RhSe2I: optimized geometry, GGA-PBE.

Computed properties:
Its energy above the most stable polymorph in this dataset is 470 meV per atom. The raw formation energy comes out at 83 kJ/mol of formula units.

a = 7.5424 Å, b = 7.5424 Å, c = 7.5424 Å
α = 31.15°, β = 31.15°, γ = 31.15°
Last column: nearest neighbours and their distance in Å.
Positions (direct):
I  0.5350  0.5350  0.5350  1 Se 3.04, 3 Rh 3.08
Rh  0.9612  0.9612  0.9612  4 Se 2.53-2.56
Se  0.0786  0.0786  0.0786  1 Rh 2.53, 3 Se 2.77
Se  0.6762  0.6762  0.6762  3 Rh 2.56, 3 Se 2.77

What did the first record say?
RhSe2I: optimized geometry, GGA-PBE.

Computed properties:
Its energy above the most stable polymorph in this dataset is 377 meV per atom. The raw formation energy comes out at 47 kJ/mol of formula units.

a = 3.3029 Å, b = 3.3029 Å, c = 11.5904 Å
α = 90.00°, β = 90.00°, γ = 120.00°
Last column: nearest neighbours and their distance in Å.
Positions (direct):
I  0.0000  0.0000  0.0174  6 I 3.30
Rh  0.3333  0.6667  0.4503  4 Se 2.39-2.45
Se  0.3333  0.6667  0.6615  1 Rh 2.45
Se  0.6667  0.3333  0.3257  3 Rh 2.39

What did the second record say?
RhSe2I: optimized geometry, GGA-PBE.

Computed properties:
Its energy above the most stable polymorph in this dataset is 37 meV per atom. The raw formation energy comes out at -84 kJ/mol of formula units.

a = 3.8233 Å, b = 7.0045 Å, c = 9.0206 Å
α = 86.91°, β = 89.20°, γ = 106.83°
Last column: nearest neighbours and their distance in Å.
Positions (direct):
I  0.5262  0.9702  0.5231  1 Se 2.71, 1 Rh 2.72
I  0.9208  0.6694  0.8145  2 Rh 2.75
Rh  0.5770  0.9637  0.8236  3 Se 2.45-2.51, 1 I 2.72
Rh  0.1737  0.1908  0.1220  6 Se 2.45-2.56
Se  0.0364  0.2718  0.3730  1 Se 2.45, 1 Rh 2.45, 1 I 2.71
Se  0.7966  0.4316  0.1665  1 Se 2.45, 2 Rh 2.54-2.56
Se  0.2043  0.1994  0.8472  3 Rh 2.48-2.51
Se  0.5485  0.9499  0.0960  3 Rh 2.45-2.53